[1]
# ZrAlNi4 (GGA-PBE, optimized geometry)
# Calculated formation energy (meV per atom): -409.1
# Crystal system: orthorhombic
# D(E_F) (states/eV/f.u.): 2.5
# Spin magnetization (μB per formula unit): 0.0
data_ZrAlNi4
_chemical_formula_sum 'Zr4 Al4 Ni16'
_space_group_name_H-M_alt 'C m c m'
_space_group_IT_number 63
_space_group_name_Hall '-C 2c 2'
_cell_length_a 3.7963
_cell_length_b 16.4618
_cell_length_c 5.2170
_cell_angle_alpha 90.00
_cell_angle_beta 90.00
_cell_angle_gamma 90.00
loop_
_atom_site_label
_atom_site_type_symbol
_atom_site_fract_x
_atom_site_fract_y
_atom_site_fract_z
Zr1 Zr 0.0000 0.0887 0.2500
Al1 Al 0.0000 0.2284 0.7500
Ni1 Ni 0.0000 0.0765 0.7500
Ni2 Ni 0.0000 0.3459 0.0225
Ni3 Ni 0.0000 0.5000 0.0000

[2]
# ZrAl2Ni8 (GGA-PBE, optimized geometry)
# Calculated formation energy (meV per atom): -345.7
# Crystal system: tetragonal
# D(E_F) (states/eV/f.u.): 11.8
# Spin magnetization (μB per formula unit): 0.3
data_ZrAl2Ni8
_chemical_formula_sum 'Zr1 Al2 Ni8'
_space_group_name_H-M_alt 'P 4/m m m'
_space_group_IT_number 123
_space_group_name_Hall '-P 4 2'
_cell_length_a 3.5313
_cell_length_b 3.5313
_cell_length_c 11.1591
_cell_angle_alpha 90.00
_cell_angle_beta 90.00
_cell_angle_gamma 90.00
loop_
_atom_site_label
_atom_site_type_symbol
_atom_site_fract_x
_atom_site_fract_y
_atom_site_fract_z
Zr1 Zr 0.0000 0.0000 0.0000
Al1 Al 0.0000 0.0000 0.3421
Ni1 Ni 0.0000 0.5000 0.1773
Ni2 Ni 0.0000 0.5000 0.5000
Ni3 Ni 0.5000 0.5000 0.3370

[3]
# ZrAl2Ni (GGA-PBE, optimized geometry)
# Calculated formation energy (meV per atom): -75.2
# Crystal system: orthorhombic
# D(E_F) (states/eV/f.u.): 2.5
# Spin magnetization (μB per formula unit): 0.0
data_ZrAl2Ni
_chemical_formula_sum 'Zr2 Al4 Ni2'
_space_group_name_H-M_alt 'P m m a'
_space_group_IT_number 51
_cell_length_a 5.4597
_cell_length_b 4.5088
_cell_length_c 5.4238
_cell_angle_alpha 90.00
_cell_angle_beta 90.00
_cell_angle_gamma 90.00
loop_
_space_group_symop_operation_xyz
'x,y,z'
'-x,-y,-z'
'-x+1/2,-y,z'
'x+1/2,y,-z'
'x+1/2,-y,-z'
'-x+1/2,y,z'
'-x,y,-z'
'x,-y,z'
loop_
_atom_site_label
_atom_site_type_symbol
_atom_site_fract_x
_atom_site_fract_y
_atom_site_fract_z
Zr1 Zr 0.2500 0.0000 0.0123
Al1 Al 0.0000 0.0000 0.5000
Al2 Al 0.2500 0.5000 0.3192
Ni1 Ni 0.2500 0.5000 0.7691

[4]
# ZrAlNi4 (GGA-PBE, optimized geometry)
# Calculated formation energy (meV per atom): -332.7
# Crystal system: hexagonal
# D(E_F) (states/eV/f.u.): 6.4
# Spin magnetization (μB per formula unit): 0.0
data_ZrAlNi4
_chemical_formula_sum 'Zr1 Al1 Ni4'
_space_group_name_H-M_alt 'P 6/m m m'
_space_group_IT_number 191
_space_group_name_Hall '-P 6 2'
_cell_length_a 4.0717
_cell_length_b 4.0717
_cell_length_c 5.6312
_cell_angle_alpha 90.00
_cell_angle_beta 90.00
_cell_angle_gamma 120.00
loop_
_atom_site_label
_atom_site_type_symbol
_atom_site_fract_x
_atom_site_fract_y
_atom_site_fract_z
Zr1 Zr 0.0000 0.0000 0.0000
Al1 Al 0.0000 0.0000 0.5000
Ni1 Ni 0.3333 0.6667 0.2774

[5]
# ZrAl2Ni (GGA-PBE, optimized geometry)
# Calculated formation energy (meV per atom): -307.0
# Crystal system: trigonal
# D(E_F) (states/eV/f.u.): 1.2
# Spin magnetization (μB per formula unit): 0.0
data_ZrAl2Ni
_chemical_formula_sum 'Zr2 Al4 Ni2'
_space_group_name_H-M_alt 'P -3 m 1'
_space_group_IT_number 164
_space_group_name_Hall '-P 3 2"'
_cell_length_a 4.0600
_cell_length_b 4.0600
_cell_length_c 9.2879
_cell_angle_alpha 90.00
_cell_angle_beta 90.00
_cell_angle_gamma 120.00
loop_
_atom_site_label
_atom_site_type_symbol
_atom_site_fract_x
_atom_site_fract_y
_atom_site_fract_z
Zr1 Zr 0.3333 0.6667 0.3912
Al1 Al 0.3333 0.6667 0.0765
Al2 Al 0.3333 0.6667 0.7679
Ni1 Ni 0.0000 0.0000 0.1487

[6]
# Zr5Al2Ni (GGA-PBE, optimized geometry)
# Calculated formation energy (meV per atom): 23.3
# Crystal system: orthorhombic
# D(E_F) (states/eV/f.u.): 7.9
# Spin magnetization (μB per formula unit): 0.0
data_Zr5Al2Ni
_chemical_formula_sum 'Zr10 Al4 Ni2'
_space_group_name_H-M_alt 'I m m m'
_space_group_IT_number 71
_space_group_name_Hall '-I 2 2'
_cell_length_a 3.0379
_cell_length_b 9.8725
_cell_length_c 10.8283
_cell_angle_alpha 90.00
_cell_angle_beta 90.00
_cell_angle_gamma 90.00
loop_
_atom_site_label
_atom_site_type_symbol
_atom_site_fract_x
_atom_site_fract_y
_atom_site_fract_z
Zr1 Zr 0.0000 0.0000 0.0000
Zr2 Zr 0.0000 0.2770 0.3648
Al1 Al 0.0000 0.0000 0.2888
Ni1 Ni 0.0000 0.5000 0.0000

[7]
# Zr2AlNi (GGA-PBE, optimized geometry)
# Calculated formation energy (meV per atom): -317.7
# Crystal system: tetragonal
# D(E_F) (states/eV/f.u.): 4.8
# Spin magnetization (μB per formula unit): 0.0
data_Zr2AlNi
_chemical_formula_sum 'Zr2 Al1 Ni1'
_space_group_name_H-M_alt 'P 4/m m m'
_space_group_IT_number 123
_space_group_name_Hall '-P 4 2'
_cell_length_a 4.3221
_cell_length_b 4.3221
_cell_length_c 3.8415
_cell_angle_alpha 90.00
_cell_angle_beta 90.00
_cell_angle_gamma 90.00
loop_
_atom_site_label
_atom_site_type_symbol
_atom_site_fract_x
_atom_site_fract_y
_atom_site_fract_z
Zr1 Zr 0.0000 0.5000 0.0000
Al1 Al 0.0000 0.0000 0.5000
Ni1 Ni 0.5000 0.5000 0.5000

[8]
# ZrAl2Ni (GGA-PBE, optimized geometry)
# Calculated formation energy (meV per atom): 11.4
# Crystal system: tetragonal
# D(E_F) (states/eV/f.u.): 4.7
# Spin magnetization (μB per formula unit): 0.0
data_ZrAl2Ni
_chemical_formula_sum 'Zr4 Al8 Ni4'
_space_group_name_H-M_alt 'I -4 2 d'
_space_group_IT_number 122
_space_group_name_Hall 'I -4 2bw'
_cell_length_a 3.8269
_cell_length_b 3.8269
_cell_length_c 19.3356
_cell_angle_alpha 90.00
_cell_angle_beta 90.00
_cell_angle_gamma 90.00
loop_
_atom_site_label
_atom_site_type_symbol
_atom_site_fract_x
_atom_site_fract_y
_atom_site_fract_z
Zr1 Zr 0.0000 0.0000 0.0000
Al1 Al 0.2353 0.2500 0.6250
Ni1 Ni 0.0000 0.0000 0.5000

no.,calculated volume (A^3/atom)
1,13.6
2,12.7
3,16.7
4,13.5
5,16.6
6,20.3
7,17.9
8,17.7